No. 1
This record from Alexandria via LeMat-Bulk describes a relaxed SrOsCl2 crystal. The functional is PBE.

Output
raw formation energy	-11.5	kJ/mol of atoms
symmetry	Imm2 (44)
energy above the lowest structure with this stoichiometry	0.282	eV per atom

Cell: 3.2233 4.0569 15.7361 Å, 90.00 90.00 90.00°
Positions (direct):
Sr  0.0000  0.0000  0.0000
Sr  0.5000  0.5000  0.5000
Os  0.0000  0.5000  0.3344
Os  0.5000  0.0000  0.8344
Cl  0.0000  0.0000  0.5850
Cl  0.0000  0.5000  0.8363
Cl  0.5000  0.0000  0.3363
Cl  0.5000  0.5000  0.0850

***

No. 2
This record from Alexandria via LeMat-Bulk describes a relaxed SrOsCl2 crystal. The functional is PBE.

Output
raw formation energy	-11.6	kJ/mol of atoms
symmetry	I-42d (122)
energy above the lowest structure with this stoichiometry	0.281	eV per atom

Cell: 4.9777 4.9777 15.5196 Å, 90.00 90.00 90.00°
Positions (direct):
Sr  0.0000  0.0000  0.0000
Sr  0.0000  0.5000  0.2500
Sr  0.5000  0.0000  0.7500
Sr  0.5000  0.5000  0.5000
Os  0.0000  0.0000  0.5000
Os  0.0000  0.5000  0.7500
Os  0.5000  0.0000  0.2500
Os  0.5000  0.5000  0.0000
Cl  0.1666  0.2500  0.6250
Cl  0.2500  0.6666  0.8750
Cl  0.2500  0.8334  0.3750
Cl  0.3334  0.2500  0.1250
Cl  0.6666  0.7500  0.1250
Cl  0.7500  0.1666  0.3750
Cl  0.7500  0.3334  0.8750
Cl  0.8334  0.7500  0.6250

***

No. 3
This record from Alexandria via LeMat-Bulk describes a relaxed SrOsCl crystal. The functional is PBE.

Output
raw formation energy	83.8	kJ/mol of atoms
symmetry	F-43m (216)
energy above the lowest structure with this stoichiometry	0.467	eV per atom

Cell: 7.3940 7.3940 7.3940 Å, 90.00 90.00 90.00°
Positions (direct):
Sr  0.0000  0.0000  0.0000
Sr  0.0000  0.5000  0.5000
Sr  0.5000  0.0000  0.5000
Sr  0.5000  0.5000  0.0000
Os  0.2500  0.2500  0.2500
Os  0.2500  0.7500  0.7500
Os  0.7500  0.2500  0.7500
Os  0.7500  0.7500  0.2500
Cl  0.2500  0.2500  0.7500
Cl  0.2500  0.7500  0.2500
Cl  0.7500  0.2500  0.2500
Cl  0.7500  0.7500  0.7500

***

No. 4
This record from Alexandria via LeMat-Bulk describes a relaxed Sr2OsCl crystal. The functional is PBE.

Output
raw formation energy	-36.2	kJ/mol of atoms
symmetry	Cmmm (65)
energy above the lowest structure with this stoichiometry	0.000	eV per atom

Cell: 5.0052 5.0152 8.1219 Å, 90.00 90.00 90.00°
Positions (direct):
Sr  0.0000  0.0000  0.2287
Sr  0.0000  0.0000  0.7713
Sr  0.5000  0.5000  0.2287
Sr  0.5000  0.5000  0.7713
Os  0.0000  0.5000  0.0000
Os  0.5000  0.0000  0.0000
Cl  0.0000  0.5000  0.5000
Cl  0.5000  0.0000  0.5000

***

no.,E_tot (eV per cell)
1,-34.17
2,-68.34
3,-48.61
4,-35.89